TcSe2Br | GGA-PBE | optimized geometry

Summary:
D(E_F) = 0.703 states/eV per atom
E above lowest polymorph = 95 meV per atom
ρ = 5.567 g cm⁻³
energy relative to the elements, uncorrected = -0.26 eV/atom
total magnetic moment = 0.000 μB per formula unit

a = 6.1108 Å, b = 3.1793 Å, c = 10.6872 Å
α = 90.00°, β = 105.23°, γ = 90.00°
With the nearest neighbours (Å) after each atom.
Space group P2_1/m (No. 11)
Inequivalent atoms, fractional coordinates:
Tc 0.1980 0.2500 0.0084 (multiplicity 2)  6 Se 2.48-2.60
Se 0.1438 0.7500 0.1781 (multiplicity 2)  3 Tc 2.48-2.50
Se 0.3727 0.7500 0.8720 (multiplicity 2)  3 Tc 2.57-2.60
Br 0.3121 0.2500 0.6182 (multiplicity 2)  2 Se 3.08, 2 Br 3.18